(1)
Here is a relaxed structure of K2SrCd2Te4 from the Alexandria database. Energies are from PBE.

## Properties
ΔE_f (raw)	-0.968	eV/atom
volume	37.4	Å³ per atom

Lattice parameters (Å, degrees): 4.659 8.719 9.114 109.16 104.81 90.00
Positions (direct):
K: 0.879 0.445 0.757
K: 0.121 0.555 0.243
Sr: 0.000 0.000 0.000
Te: 0.518 0.744 0.036
Te: 0.210 0.197 0.419
Te: 0.790 0.803 0.581
Te: 0.482 0.256 0.964
Cd: 0.672 0.982 0.343
Cd: 0.328 0.018 0.657



(2)
Here is a relaxed structure of Li2MgGa2Ag2 from the Alexandria database. Energies are from PBE.

## Properties
volume	16.6	Å³ per atom
DOS(E_F)	1.82	states/eV/f.u.
energy of formation	-177	kJ/mol of formula units

Lattice parameters (Å, degrees): 4.484 4.544 7.013 108.14 90.00 119.56
Positions (direct):
Ag: 0.277 0.555 0.834
Ag: 0.723 0.445 0.166
Li: 0.145 0.290 0.433
Li: 0.855 0.710 0.567
Ga: 0.569 0.138 0.711
Ga: 0.431 0.862 0.289
Mg: 0.000 0.000 0.000



(3)
Here is a relaxed structure of KSe from the Alexandria database. Energies are from PBE.

## Properties
ΔE_f (raw)	-0.952	eV/atom
volume	35.6	Å³ per atom

Lattice parameters (Å, degrees): 9.022 9.022 6.062 90.00 90.00 120.00
Positions (direct):
Se: 0.333 0.667 0.702
Se: 0.333 0.667 0.298
Se: 0.667 0.333 0.298
Se: 0.000 0.000 0.201
Se: 0.667 0.333 0.702
Se: 0.000 0.000 0.799
K: 0.000 0.350 0.000
K: 0.650 0.650 0.000
K: 0.316 0.316 0.500
K: 0.350 0.000 0.000
K: 0.684 0.000 0.500
K: 0.000 0.684 0.500